1.
The following is a DFT calculation (GGA-PBE) of an optimized crystal structure of LiHoSb2.

Summary:
Energy   -17.1 eV for the cell shown
Density of states at the Fermi level   0.5023 states/eV per atom

```
data_LiHoSb2
_cell_length_a 3.9201
_cell_length_b 3.9201
_cell_length_c 6.5212
_cell_angle_alpha 90.00
_cell_angle_beta 90.00
_cell_angle_gamma 90.00
_space_group_name_H-M_alt 'P 4/m m m'
_space_group_IT_number 123
_space_group_name_Hall '-P 4 2'
loop_
_atom_site_label
_atom_site_type_symbol
_atom_site_fract_x
_atom_site_fract_y
_atom_site_fract_z
Li1 Li 0.0000 0.0000 0.0000
Ho1 Ho 0.0000 0.0000 0.5000
Sb1 Sb 0.5000 0.5000 0.2444
```



2.
The following is a DFT calculation (GGA-PBE) of an optimized crystal structure of NaSrLi5.

Summary:
Energy relative to the elements   0.03 eV per atom
Density of states at the Fermi level   0.6057 states/eV per atom

```
data_NaSrLi5
_cell_length_a 10.0883
_cell_length_b 6.1079
_cell_length_c 12.5798
_cell_angle_alpha 90.00
_cell_angle_beta 90.00
_cell_angle_gamma 90.00
_space_group_name_H-M_alt 'P n m a'
_space_group_IT_number 62
_space_group_name_Hall '-P 2ac 2n'
loop_
_atom_site_label
_atom_site_type_symbol
_atom_site_fract_x
_atom_site_fract_y
_atom_site_fract_z
Na1 Na 0.1382 0.2500 0.1378
Sr1 Sr 0.2473 0.7500 0.9375
Li1 Li 0.0536 0.2500 0.8949
Li2 Li 0.0663 0.0010 0.6864
Li3 Li 0.0846 0.7500 0.4818
Li4 Li 0.1891 0.7500 0.2566
```



3.
The following is a DFT calculation (GGA-PBE) of an optimized crystal structure of La4IrW.

Summary:
Energy relative to the elements   1.12 eV per atom
Density of states at the Fermi level   1.6473 states/eV per atom

```
data_La4IrW
_cell_length_a 8.6091
_cell_length_b 8.6091
_cell_length_c 8.6091
_cell_angle_alpha 90.00
_cell_angle_beta 90.00
_cell_angle_gamma 90.00
_space_group_name_H-M_alt 'F -4 3 m'
_space_group_IT_number 216
_space_group_name_Hall 'F -4 2 3'
loop_
_atom_site_label
_atom_site_type_symbol
_atom_site_fract_x
_atom_site_fract_y
_atom_site_fract_z
La1 La 0.1253 0.1253 0.1253
Ir1 Ir 0.0000 0.0000 0.5000
W1 W 0.2500 0.2500 0.7500
```



4.
The following is a DFT calculation (GGA-PBE) of an optimized crystal structure of Ca2AcTe4.

Summary:
Energy   -121.7 eV for the cell shown
Density of states at the Fermi level   0.4992 states/eV per atom

```
data_Ca2AcTe4
_cell_length_a 4.5073
_cell_length_b 14.2326
_cell_length_c 15.7195
_cell_angle_alpha 90.00
_cell_angle_beta 90.00
_cell_angle_gamma 90.00
_space_group_name_H-M_alt 'C m c m'
_space_group_IT_number 63
_space_group_name_Hall '-C 2c 2'
loop_
_atom_site_label
_atom_site_type_symbol
_atom_site_fract_x
_atom_site_fract_y
_atom_site_fract_z
Ca1 Ca 0.0000 0.1354 0.0668
Ac1 Ac 0.0000 0.3885 0.2500
Te1 Te 0.0000 0.0593 0.2500
Te2 Te 0.0000 0.2146 0.6205
Te3 Te 0.0000 0.5000 0.0000
```



5.
The following is a DFT calculation (GGA-PBE) of an optimized crystal structure of Co2IrSe.

Summary:
Energy   -25.4 eV for the cell shown
Density of states at the Fermi level   1.0651 states/eV per atom

```
data_Co2IrSe
_cell_length_a 2.8132
_cell_length_b 3.7765
_cell_length_c 5.1902
_cell_angle_alpha 90.00
_cell_angle_beta 104.23
_cell_angle_gamma 90.00
_space_group_name_H-M_alt 'P 1 2/m 1'
_space_group_IT_number 10
_space_group_name_Hall '-P 2y'
loop_
_atom_site_label
_atom_site_type_symbol
_atom_site_fract_x
_atom_site_fract_y
_atom_site_fract_z
Co1 Co 0.1219 0.0000 0.2504
Ir1 Ir 0.5000 0.5000 0.0000
Se1 Se 0.5000 0.5000 0.5000
```



6.
The following is a DFT calculation (GGA-PBE) of an optimized crystal structure of Ru4Pt2W3.

Summary:
Energy relative to the elements   0.05 eV per atom
Density of states at the Fermi level   0.8259 states/eV per atom

```
data_Ru4Pt2W3
_cell_length_a 2.7411
_cell_length_b 8.2275
_cell_length_c 12.2048
_cell_angle_alpha 90.00
_cell_angle_beta 90.00
_cell_angle_gamma 90.00
_space_group_name_H-M_alt 'I m m m'
_space_group_IT_number 71
_space_group_name_Hall '-I 2 2'
loop_
_atom_site_label
_atom_site_type_symbol
_atom_site_fract_x
_atom_site_fract_y
_atom_site_fract_z
Ru1 Ru 0.0000 0.1621 0.1842
Pt1 Pt 0.0000 0.1874 0.5000
W1 W 0.0000 0.0000 0.0000
W2 W 0.0000 0.5000 0.1615
```



7.
The following is a DFT calculation (GGA-PBE) of an optimized crystal structure of RbNdCd4.

Summary:
Energy relative to the elements   -0.04 eV per atom
Density of states at the Fermi level   1.0841 states/eV per atom

```
data_RbNdCd4
_cell_length_a 8.7857
_cell_length_b 8.7857
_cell_length_c 8.7857
_cell_angle_alpha 90.00
_cell_angle_beta 90.00
_cell_angle_gamma 90.00
_space_group_name_H-M_alt 'F -4 3 m'
_space_group_IT_number 216
_space_group_name_Hall 'F -4 2 3'
loop_
_atom_site_label
_atom_site_type_symbol
_atom_site_fract_x
_atom_site_fract_y
_atom_site_fract_z
Rb1 Rb 0.0000 0.0000 0.0000
Nd1 Nd 0.2500 0.2500 0.7500
Cd1 Cd 0.1240 0.1240 0.3760
```



8.
The following is a DFT calculation (GGA-PBE) of an optimized crystal structure of CsBa2InPd.

Summary:
Energy relative to the elements   -0.22 eV per atom
Density of states at the Fermi level   0.9158 states/eV per atom

```
data_CsBa2InPd
_cell_length_a 6.3211
_cell_length_b 6.3211
_cell_length_c 5.4539
_cell_angle_alpha 90.00
_cell_angle_beta 90.00
_cell_angle_gamma 90.00
_space_group_name_H-M_alt 'P 4/m m m'
_space_group_IT_number 123
_space_group_name_Hall '-P 4 2'
loop_
_atom_site_label
_atom_site_type_symbol
_atom_site_fract_x
_atom_site_fract_y
_atom_site_fract_z
Cs1 Cs 0.0000 0.0000 0.0000
Ba1 Ba 0.0000 0.5000 0.5000
In1 In 0.5000 0.5000 0.0000
Pd1 Pd 0.5000 0.5000 0.5000
```



9.
The following is a DFT calculation (GGA-PBE) of an optimized crystal structure of Mg4Si7.

Summary:
Energy   -86.5 eV for the cell shown
Density of states at the Fermi level   0.2691 states/eV per atom

```
data_Mg4Si7
_cell_length_a 16.0230
_cell_length_b 3.6250
_cell_length_c 6.8287
_cell_angle_alpha 90.00
_cell_angle_beta 90.58
_cell_angle_gamma 90.00
_space_group_name_H-M_alt 'C 1 2/m 1'
_space_group_IT_number 12
_space_group_name_Hall '-C 2y'
loop_
_atom_site_label
_atom_site_type_symbol
_atom_site_fract_x
_atom_site_fract_y
_atom_site_fract_z
Mg1 Mg 0.0790 0.0000 0.3985
Mg2 Mg 0.1662 0.0000 0.9958
Si1 Si 0.0000 0.0000 0.0000
Si2 Si 0.0435 0.5000 0.7602
Si3 Si 0.1886 0.5000 0.6610
Si4 Si 0.2126 0.5000 0.2925
```



10.
The following is a DFT calculation (GGA-PBE) of an optimized crystal structure of LiNpFeIr.

Summary:
Energy relative to the elements   -0.02 eV per atom
Density of states at the Fermi level   1.5727 states/eV per atom

```
data_LiNpFeIr
_cell_length_a 6.3664
_cell_length_b 6.3664
_cell_length_c 6.3664
_cell_angle_alpha 90.00
_cell_angle_beta 90.00
_cell_angle_gamma 90.00
_space_group_name_H-M_alt 'F -4 3 m'
_space_group_IT_number 216
_space_group_name_Hall 'F -4 2 3'
loop_
_atom_site_label
_atom_site_type_symbol
_atom_site_fract_x
_atom_site_fract_y
_atom_site_fract_z
Li1 Li 0.0000 0.0000 0.0000
Np1 Np 0.0000 0.0000 0.5000
Fe1 Fe 0.2500 0.2500 0.7500
Ir1 Ir 0.2500 0.2500 0.2500
```



11.
The following is a DFT calculation (GGA-PBE) of an optimized crystal structure of AcSm3Tm3.

Summary:
Energy relative to the elements   0.10 eV per atom
Density of states at the Fermi level   1.4052 states/eV per atom

```
data_AcSm3Tm3
_cell_length_a 7.1188
_cell_length_b 11.5544
_cell_length_c 11.7168
_cell_angle_alpha 89.21
_cell_angle_beta 89.47
_cell_angle_gamma 89.75
_space_group_name_H-M_alt 'P 1'
_space_group_IT_number 1
_space_group_name_Hall 'P 1'
loop_
_atom_site_label
_atom_site_type_symbol
_atom_site_fract_x
_atom_site_fract_y
_atom_site_fract_z
Ac1 Ac 0.0000 0.0000 0.0000
Ac2 Ac 0.0117 0.6440 0.9145
Ac3 Ac 0.2549 0.9755 0.2921
Ac4 Ac 0.7324 0.6580 0.6483
Sm1 Sm 0.0129 0.9010 0.5946
Sm2 Sm 0.2441 0.6418 0.6238
Sm3 Sm 0.2454 0.3241 0.9639
Sm4 Sm 0.4879 0.3705 0.6921
Sm5 Sm 0.5033 0.6880 0.3703
Sm6 Sm 0.5037 0.0711 0.0223
Sm7 Sm 0.5873 0.7898 0.0965
Sm8 Sm 0.7319 0.0980 0.7446
Sm9 Sm 0.7520 0.4273 0.4367
Sm10 Sm 0.7581 0.5229 0.1630
Sm11 Sm 0.9951 0.2577 0.2155
Sm12 Sm 0.9976 0.1710 0.4948
Tm1 Tm 0.2416 0.4231 0.4265
Tm2 Tm 0.2500 0.1181 0.7414
Tm3 Tm 0.2663 0.5458 0.1632
Tm4 Tm 0.4197 0.8498 0.8284
Tm5 Tm 0.4975 0.1752 0.4871
Tm6 Tm 0.4979 0.9092 0.5531
Tm7 Tm 0.5018 0.2804 0.2203
Tm8 Tm 0.5035 0.5668 0.9067
Tm9 Tm 0.7473 0.3138 0.9546
Tm10 Tm 0.7469 0.9911 0.3067
Tm11 Tm 0.9887 0.7042 0.3588
Tm12 Tm 0.9950 0.3819 0.7017
```



12.
The following is a DFT calculation (GGA-PBE) of an optimized crystal structure of Rb2CaZnI6.

Summary:
Energy   -104.4 eV for the cell shown
Density of states at the Fermi level   0.0000 states/eV per atom

```
data_Rb2CaZnI6
_cell_length_a 11.9513
_cell_length_b 11.9513
_cell_length_c 11.9513
_cell_angle_alpha 90.00
_cell_angle_beta 90.00
_cell_angle_gamma 90.00
_space_group_name_H-M_alt 'F m -3 m'
_space_group_IT_number 225
_space_group_name_Hall '-F 4 2 3'
loop_
_atom_site_label
_atom_site_type_symbol
_atom_site_fract_x
_atom_site_fract_y
_atom_site_fract_z
Rb1 Rb 0.2500 0.2500 0.2500
Ca1 Ca 0.0000 0.0000 0.0000
Zn1 Zn 0.0000 0.0000 0.5000
I1 I 0.0000 0.0000 0.2598
```



Q: density of states at the Fermi level of number 11 (AcSm3Tm3)?
A: 1.4052 states/eV per atom